No. 1
BaWAu3: optimized geometry, GGA-PBEsol.

Cell: 5.671 5.671 5.671 Å, 90.00 90.00 90.00°
Sites, in units of the cell vectors:
Ba 0.000 0.000 0.000
W 0.500 0.500 0.500
Au 0.000 0.000 0.500
Au 0.000 0.500 0.000
Au 0.500 0.000 0.000

***

No. 2
BaY3Au: optimized geometry, GGA-PBEsol.

Cell: 5.474 5.474 5.474 Å, 90.00 90.00 90.00°
Sites, in units of the cell vectors:
Ba 0.000 0.000 0.000
Y 0.000 0.000 0.500
Y 0.000 0.500 0.000
Y 0.500 0.000 0.000
Au 0.500 0.500 0.500

***

No. 3
Ba3YAu: optimized geometry, GGA-PBEsol.

Cell: 6.232 6.232 6.232 Å, 90.00 90.00 90.00°
Sites, in units of the cell vectors:
Ba 0.000 0.000 0.500
Ba 0.000 0.500 0.000
Ba 0.500 0.000 0.000
Y 0.500 0.500 0.500
Au 0.000 0.000 0.000

Calculated values
energy relative to the lowest polymorph listed for this composition	0.00	eV/f.u.

***

No. 4
Ba3YAu: optimized geometry, GGA-PBEsol.

Cell: 6.163 6.163 6.163 Å, 90.00 90.00 90.00°
Sites, in units of the cell vectors:
Ba 0.000 0.000 0.500
Ba 0.000 0.500 0.000
Ba 0.500 0.000 0.000
Y 0.000 0.000 0.000
Au 0.500 0.500 0.500

Calculated values
energy relative to the lowest polymorph listed for this composition	3.50	eV/f.u.

***

No. 5
Ba2YAu: optimized geometry, GGA-PBEsol.

Cell: 5.786 5.786 5.786 Å, 60.00 60.00 60.00°
Sites, in units of the cell vectors:
Ba 0.250 0.250 0.250
Ba 0.750 0.750 0.750
Y 0.000 0.000 0.000
Au 0.500 0.500 0.500

Calculated values
energy relative to the lowest polymorph listed for this composition	0.42	eV/f.u.

***

No. 6
Ba2YAu: optimized geometry, GGA-PBEsol.

Cell: 6.575 6.575 6.575 Å, 137.88 137.88 61.08°
Sites, in units of the cell vectors:
Ba 0.250 0.750 0.500
Ba 0.750 0.250 0.500
Y 0.000 0.000 0.000
Au 0.500 0.500 0.000

Calculated values
energy relative to the lowest polymorph listed for this composition	0.00	eV/f.u.

***

Number 1: total moment 4.871 μB/f.u., formation enthalpy at 0 K 2.184 eV per atom, calculated total energy -3.362 eV per atom. Number 2: total moment 0.000 μB/f.u., formation enthalpy at 0 K 1.136 eV per atom, calculated total energy -4.172 eV per atom. Number 3: total moment 0.608 μB/f.u., formation enthalpy at 0 K 0.045 eV per atom, calculated total energy -3.394 eV per atom. Number 4: total moment 0.004 μB/f.u., formation enthalpy at 0 K 0.744 eV per atom, calculated total energy -2.695 eV per atom. Number 5: total moment 0.000 μB/f.u., formation enthalpy at 0 K 0.152 eV per atom, calculated total energy -3.609 eV per atom. Number 6: total moment 0.003 μB/f.u., formation enthalpy at 0 K 0.046 eV per atom, calculated total energy -3.715 eV per atom.